Entry 1:
# NaInI2 | Alexandria | PBE | optimized geometry
data_NaInI2
_chemical_formula_sum 'Na3 In3 I6'
_symmetry_space_group_name_H-M 'R -3 m'
_symmetry_Int_Tables_number 166
_symmetry_space_group_name_Hall '-R 3 2"'
_cell_length_a 4.7586
_cell_length_b 4.7586
_cell_length_c 23.9658
_cell_angle_alpha 90.00
_cell_angle_beta 90.00
_cell_angle_gamma 120.00
loop_
_atom_site_label
_atom_site_type_symbol
_atom_site_fract_x
_atom_site_fract_y
_atom_site_fract_z
_atom_site_occupancy
Na1 Na 0.0000 0.0000 0.0000 1
In1 In 0.0000 0.0000 0.5000 1
I1 I 0.0000 0.0000 0.2579 1
# Density of states at the Fermi level ... 0.00 states/eV/f.u.
# Theoretical density ... 4.151 g/cm³
# Formation energy without anion corrections ... -845.7 meV per atom
# Offset from the most stable computed form ... 0 meV per atom

Entry 2:
# NaInI2 | Alexandria | PBE | optimized geometry
data_NaInI2
_chemical_formula_sum 'Na3 In3 I6'
_symmetry_space_group_name_H-M 'R 3 m'
_symmetry_Int_Tables_number 160
_symmetry_space_group_name_Hall 'R 3 -2"'
_cell_length_a 4.6714
_cell_length_b 4.6714
_cell_length_c 24.7987
_cell_angle_alpha 90.00
_cell_angle_beta 90.00
_cell_angle_gamma 120.00
loop_
_atom_site_label
_atom_site_type_symbol
_atom_site_fract_x
_atom_site_fract_y
_atom_site_fract_z
_atom_site_occupancy
Na1 Na 0.0000 0.0000 0.0000 1
In1 In 0.0000 0.0000 0.1677 1
I1 I 0.0000 0.0000 0.4085 1
I2 I 0.0000 0.0000 0.5926 1
# Density of states at the Fermi level ... 0.00 states/eV/f.u.
# Theoretical density ... 4.163 g/cm³
# Formation energy without anion corrections ... -831.4 meV per atom
# Offset from the most stable computed form ... 14 meV per atom

Entry 3:
# Na2InI4 | Alexandria | PBE | optimized geometry
data_Na2InI4
_chemical_formula_sum 'Na4 In2 I8'
_symmetry_space_group_name_H-M 'I -4 2 m'
_symmetry_Int_Tables_number 121
_symmetry_space_group_name_Hall 'I -4 2'
_cell_length_a 7.379
_cell_length_b 7.379
_cell_length_c 13.008
_cell_angle_alpha 90.00
_cell_angle_beta 90.00
_cell_angle_gamma 90.00
loop_
_atom_site_label
_atom_site_type_symbol
_atom_site_fract_x
_atom_site_fract_y
_atom_site_fract_z
_atom_site_occupancy
Na1 Na 0.000 0.500 0.250 1
In1 In 0.000 0.000 0.000 1
I1 I 0.248 0.248 0.120 1
# Density of states at the Fermi level ... 5.23 states/eV/f.u.
# Theoretical density ... 3.134 g/cm³
# Formation energy without anion corrections ... -818.0 meV per atom
# Offset from the most stable computed form ... 0 meV per atom

Entry 4:
# Na3In4I8 | Alexandria | PBE | optimized geometry
data_Na3In4I8
_chemical_formula_sum 'Na6 In8 I16'
_symmetry_space_group_name_H-M 'C 1 2/m 1'
_symmetry_Int_Tables_number 12
_symmetry_space_group_name_Hall '-C 2y'
_cell_length_a 13.327
_cell_length_b 13.358
_cell_length_c 9.421
_cell_angle_alpha 90.00
_cell_angle_beta 134.43
_cell_angle_gamma 90.00
loop_
_atom_site_label
_atom_site_type_symbol
_atom_site_fract_x
_atom_site_fract_y
_atom_site_fract_z
_atom_site_occupancy
Na1 Na 0.000 0.000 0.000 1
Na2 Na 0.250 0.250 0.000 1
In1 In 0.000 0.000 0.500 1
In2 In 0.000 0.500 0.000 1
In3 In 0.250 0.250 0.500 1
I1 I 0.000 0.242 0.000 1
I2 I 0.000 0.252 0.500 1
I3 I 0.238 0.000 0.992 1
I4 I 0.244 0.000 0.484 1
# Density of states at the Fermi level ... 6.73 states/eV/f.u.
# Theoretical density ... 4.280 g/cm³
# Formation energy without anion corrections ... -748.0 meV per atom

Entry 5:
# NaIn2I6 | Alexandria | PBE | optimized geometry
data_NaIn2I6
_chemical_formula_sum 'Na3 In6 I18'
_symmetry_space_group_name_H-M 'R 3'
_symmetry_Int_Tables_number 146
_symmetry_space_group_name_Hall 'R 3'
_cell_length_a 7.9055
_cell_length_b 7.9055
_cell_length_c 24.9908
_cell_angle_alpha 90.00
_cell_angle_beta 90.00
_cell_angle_gamma 120.00
loop_
_atom_site_label
_atom_site_type_symbol
_atom_site_fract_x
_atom_site_fract_y
_atom_site_fract_z
_atom_site_occupancy
Na1 Na 0.0000 0.0000 0.0000 1
In1 In 0.0000 0.0000 0.2722 1
In2 In 0.0000 0.0000 0.3925 1
I1 I 0.0033 0.3208 0.0855 1
I2 I 0.0063 0.6884 0.9128 1
# Density of states at the Fermi level ... 2.78 states/eV/f.u.
# Theoretical density ... 3.735 g/cm³
# Formation energy without anion corrections ... -567.9 meV per atom
# Offset from the most stable computed form ... 34 meV per atom

Entry 6:
# Na2InI5 | Alexandria | PBE | optimized geometry
data_Na2InI5
_chemical_formula_sum 'Na8 In4 I20'
_symmetry_space_group_name_H-M 'P n n m'
_symmetry_Int_Tables_number 58
_symmetry_space_group_name_Hall '-P 2 2n'
_cell_length_a 13.081
_cell_length_b 13.928
_cell_length_c 9.301
_cell_angle_alpha 90.00
_cell_angle_beta 90.00
_cell_angle_gamma 90.00
loop_
_atom_site_label
_atom_site_type_symbol
_atom_site_fract_x
_atom_site_fract_y
_atom_site_fract_z
_atom_site_occupancy
Na1 Na 0.000 0.000 0.221 1
Na2 Na 0.114 0.328 0.000 1
In1 In 0.244 0.239 0.500 1
I1 I 0.052 0.154 0.500 1
I2 I 0.113 0.590 0.000 1
I3 I 0.116 0.117 0.000 1
I4 I 0.229 0.857 0.236 1
# Theoretical density ... 3.117 g/cm³
# Formation energy without anion corrections ... -838.2 meV per atom
# Offset from the most stable computed form ... 0 meV per atom